{"formula": "CsIn3Hg9", "functional": "PBE-GGA", "state": "optimized geometry", "lattice": [[3.160, -8.416, 0.000], [3.160, 8.416, 0.000], [-1.844, 0.000, 7.406]], "species": ["Cs", "In", "In", "In", "Hg", "Hg", "Hg", "Hg", "Hg", "Hg", "Hg", "Hg", "Hg"], "frac_coords": [[0.000, 0.000, 0.000], [0.000, 0.500, 0.000], [0.500, 0.000, 0.000], [0.500, 0.500, 0.500], [0.000, 0.000, 0.500], [0.017, 0.663, 0.640], [0.283, 0.516, 0.771], [0.337, 0.983, 0.360], [0.484, 0.717, 0.229], [0.516, 0.283, 0.771], [0.663, 0.017, 0.640], [0.717, 0.484, 0.229], [0.983, 0.337, 0.360]], "n_ef_per_ev_cell": 6.30, "space_group": "No. 12", "magnetic_moment_mub_per_fu": 0.0, "formation_enthalpy_0k_ev_per_fu": -0.8, "mass_density_g_cm3": 9.623}

{"formula": "CsInHg3", "functional": "PBE-GGA", "state": "optimized geometry", "lattice": [[6.770, -3.871, 0.000], [6.770, 3.871, 0.000], [-0.002, 0.000, 6.863]], "species": ["Cs", "Cs", "In", "In", "Hg", "Hg", "Hg", "Hg", "Hg", "Hg"], "frac_coords": [[0.161, 0.161, 0.252], [0.839, 0.839, 0.748], [0.500, 0.500, 0.000], [0.500, 0.500, 0.500], [0.103, 0.689, 0.248], [0.304, 0.304, 0.751], [0.311, 0.897, 0.752], [0.689, 0.103, 0.248], [0.696, 0.696, 0.249], [0.897, 0.311, 0.752]], "n_ef_per_ev_cell": 4.41, "space_group": "No. 12", "magnetic_moment_mub_per_fu": 0.0, "e_above_lowest_polymorph_mev_per_atom": 32, "formation_enthalpy_0k_ev_per_fu": -0.7, "mass_density_g_cm3": 7.843}

{"formula": "CsInHg3", "functional": "PBE-GGA", "state": "optimized geometry", "lattice": [[-2.804, 2.804, 5.556], [2.804, -2.804, 5.556], [2.804, 2.804, -5.556]], "species": ["Cs", "In", "Hg", "Hg", "Hg"], "frac_coords": [[0.000, 0.000, 0.000], [0.355, 0.355, 0.000], [0.260, 0.760, 0.500], [0.628, 0.628, 0.000], [0.760, 0.260, 0.500]], "n_ef_per_ev_cell": 2.07, "space_group": "No. 107", "magnetic_moment_mub_per_fu": 0.0, "e_above_lowest_polymorph_mev_per_atom": 0, "formation_enthalpy_0k_ev_per_fu": -0.9, "mass_density_g_cm3": 8.073}

{"formula": "Cs3In3Hg8", "functional": "PBE-GGA", "state": "optimized geometry", "lattice": [[9.783, -2.719, 0.000], [9.783, 2.719, 0.000], [-5.949, 0.000, 9.064]], "species": ["Cs", "Cs", "Cs", "In", "In", "In", "Hg", "Hg", "Hg", "Hg", "Hg", "Hg", "Hg", "Hg"], "frac_coords": [[0.000, 0.000, 0.000], [0.291, 0.291, 0.263], [0.709, 0.709, 0.737], [0.000, 0.000, 0.500], [0.330, 0.330, 0.656], [0.670, 0.670, 0.344], [0.123, 0.123, 0.838], [0.140, 0.140, 0.440], [0.355, 0.355, 0.983], [0.492, 0.492, 0.662], [0.508, 0.508, 0.338], [0.645, 0.645, 0.017], [0.860, 0.860, 0.560], [0.877, 0.877, 0.162]], "n_ef_per_ev_cell": 6.33, "space_group": "No. 12", "magnetic_moment_mub_per_fu": 0.0, "formation_enthalpy_0k_ev_per_fu": -2.3, "mass_density_g_cm3": 8.087}